Material: K2TlNi3F12
Method: DFT, PBE with a Hubbard U
State: optimized geometry

abc: 7.351 7.351 7.351
angles: 59.72 59.72 59.72
Positions (direct):
K 0.118 0.118 0.118
K 0.882 0.882 0.882
Tl 0.500 0.500 0.500
Ni 0.000 0.500 0.500
Ni 0.500 0.000 0.500
Ni 0.500 0.500 0.000
F 0.133 0.602 0.602
F 0.197 0.197 0.589
F 0.197 0.589 0.197
F 0.398 0.398 0.867
F 0.398 0.867 0.398
F 0.411 0.803 0.803
F 0.589 0.197 0.197
F 0.602 0.133 0.602
F 0.602 0.602 0.133
F 0.803 0.411 0.803
F 0.803 0.803 0.411
F 0.867 0.398 0.398

Uncorrected energy (eV per atom): -4.085
Total magnetic moment (μB per formula unit): 5.00
Space-group type: R-3m (166)